# 1
A plane-wave DFT calculation with PBE was carried out for a relaxed structure of SrEu2Tm.

Geometry as extended XYZ:
```
4
Lattice="4.1136 0.0000 0.0000 0.0000 4.1136 0.0000 0.0000 0.0000 9.6866" Properties=species:S:1:pos:R:3 pbc="T T T"
Tm 2.0568 2.0568 0.0000
Sr 2.0568 2.0568 4.8433
Eu 0.0000 0.0000 2.0640
Eu 0.0000 0.0000 7.6225
```

Values from the calculation:
Symmetry = P4/mmm, No. 123
Energy above the lowest structure with this stoichiometry = 0 kJ/mol of formula units
Magnetization = 3.683 μB per atom
Energy relative to the elements = 0.0946 eV/atom

=====

# 2
A plane-wave DFT calculation with PBE was carried out for a relaxed structure of Sr2YTc.

Geometry as extended XYZ:
```
4
Lattice="0.0000 3.8985 3.8985 3.8985 0.0000 3.8985 3.8985 3.8985 0.0000" Properties=species:S:1:pos:R:3 pbc="T T T"
Tc 3.8985 3.8985 3.8985
Y 0.0000 0.0000 0.0000
Sr 1.9493 1.9493 1.9493
Sr 5.8478 5.8478 5.8478
```

Values from the calculation:
Symmetry = Fm-3m, No. 225
Energy above the lowest structure with this stoichiometry = 207 kJ/mol of formula units
Magnetization = 0.043 μB per atom
Energy relative to the elements = 0.8554 eV/atom

=====

# 3
A plane-wave DFT calculation with PBE was carried out for a relaxed structure of Ni2Sb.

Geometry as extended XYZ:
```
6
Lattice="2.3828 -3.8376 0.0000 2.3828 3.8376 0.0000 0.0000 0.0000 4.7033" Properties=species:S:1:pos:R:3 pbc="T T T"
Ni 3.4196 1.3040 3.5275
Ni 1.3461 -1.3040 1.1758
Ni 1.3461 1.3040 1.1758
Ni 3.4196 -1.3040 3.5275
Sb 3.6570 0.0000 1.1758
Sb 1.1087 0.0000 3.5275
```

Values from the calculation:
Symmetry = Cmcm, No. 63
Magnetization = 0.000 μB per atom
Uncorrected formation energy = -0.08 eV/atom